The following is a DFT calculation (GGA-PBE) of crystalline CaCe5As6 at its relaxed geometry.

Cell and atoms, written as POSCAR:
```
CaCe5As6
1.0
-1.2313 6.6523 -2.8039
-6.9455 1.9406 1.2804
-1.7226 3.6096 6.1336
As Ce Ca
6 5 1
Direct
0.2524 0.9157 0.6616
0.2525 0.2544 0.0000
0.2524 0.5773 0.3384
0.7475 0.7456 0.0000
0.7476 0.4227 0.6616
0.7476 0.0843 0.3384
0.5000 0.5000 0.0000
0.0000 0.3329 0.3342
0.0000 0.6671 0.6658
0.5000 0.8346 0.3309
0.5000 0.1654 0.6691
0.0000 0.0000 0.0000
```

## Properties
E_form	-133.3	kJ per mole of atoms

The following is a DFT calculation (GGA-PBE) of crystalline SiTcSeBr2 at its relaxed geometry.

Cell and atoms, written as POSCAR:
```
SiTcSeBr2
1.0
5.0724 0.0000 0.0000
0.0000 5.0724 0.0000
0.0000 0.0000 5.0508
Si Br Se Tc
1 2 1 1
Direct
0.0000 0.0000 0.0000
0.0000 0.5000 0.0000
0.5000 0.0000 0.0000
0.0000 0.0000 0.5000
0.5000 0.5000 0.5000
```

## Properties
ΔE to the lowest computed polymorph	0.130	eV per atom
formation energy without anion corrections	0.741	eV per atom

The following is a DFT calculation (GGA-PBE) of crystalline CsSr3Pd at its relaxed geometry.

Cell and atoms, written as POSCAR:
```
CsSr3Pd
1.0
-12.2910 8.9634 3.8229
-7.3836 -2.4227 7.6736
7.1987 -4.1309 7.0982
Pd Sr Cs
4 12 4
Direct
0.7500 0.1770 0.6770
0.7500 0.4966 0.9966
0.2500 0.5034 0.0034
0.2500 0.8230 0.3230
0.5127 0.7866 0.5586
0.4873 0.2134 0.4414
0.9532 0.2230 0.9153
0.0468 0.7770 0.0847
0.3382 0.1178 0.0462
0.1618 0.5462 0.6178
0.8382 0.4538 0.3822
0.0127 0.9414 0.7134
0.9873 0.0586 0.2866
0.5468 0.4153 0.7230
0.6618 0.8822 0.9538
0.4532 0.5847 0.2770
0.6168 0.1973 0.1765
0.1168 0.3235 0.3027
0.3832 0.8027 0.8235
0.8832 0.6765 0.6973
```

## Properties
ΔE to the lowest computed polymorph	0.125	eV per atom
E_form	-11.1	kJ per mole of atoms

The following is a DFT calculation (GGA-PBE) of crystalline ScCuRe2 at its relaxed geometry.

Cell and atoms, written as POSCAR:
```
ScCuRe2
1.0
4.3176 0.0000 0.0000
0.0000 2.8726 0.0071
0.0000 0.9659 5.0904
Sc Re Cu
1 2 1
Direct
0.0000 0.4924 0.5422
0.5000 0.2150 0.1941
0.0000 0.8640 0.0391
0.5000 0.9286 0.7245
```

## Properties
ΔE to the lowest computed polymorph	0.095	eV per atom
E_form	4.5	kJ per mole of atoms

The following is a DFT calculation (GGA-PBE) of crystalline Tl2Hg4Au3 at its relaxed geometry.

Cell and atoms, written as POSCAR:
```
Tl2Hg4Au3
1.0
5.1596 0.0000 1.9260
2.5798 4.8138 0.9630
-0.4379 0.0000 9.0471
Hg Au Tl
4 3 2
Direct
0.3366 0.6833 0.6435
0.6634 0.3167 0.3565
0.0199 0.3167 0.6435
0.9801 0.6833 0.3565
0.0000 0.0000 0.0000
0.0000 0.5000 0.0000
0.5000 0.5000 0.0000
0.3941 0.0000 0.2118
0.6059 0.0000 0.7882
```

## Properties
E_form	2.5	kJ per mole of atoms

The following is a DFT calculation (GGA-PBE) of crystalline SrNpN2 at its relaxed geometry.

Cell and atoms, written as POSCAR:
```
SrNpN2
1.0
3.5313 0.0000 0.0000
1.7656 3.0582 0.0000
1.7656 1.0194 6.1158
Np N Sr
1 2 1
Direct
0.6675 0.6675 0.9975
0.2705 0.2705 0.1886
0.0666 0.0666 0.8002
0.4954 0.4954 0.5137
```

## Properties
formation energy without anion corrections	-0.909	eV per atom

The following is a DFT calculation (GGA-PBE) of crystalline HPt2Pb2 at its relaxed geometry.

Cell and atoms, written as POSCAR:
```
HPt2Pb2
1.0
4.9633 -0.2706 0.4819
1.9364 4.5780 0.4819
-0.4702 -0.2935 8.1273
Pt Pb H
4 4 2
Direct
0.0084 0.7466 0.0786
0.9916 0.2534 0.9214
0.2534 0.9916 0.4214
0.7466 0.0084 0.5786
0.2277 0.4572 0.6423
0.4572 0.2277 0.1423
0.5428 0.7723 0.8577
0.7723 0.5428 0.3577
0.1030 0.8970 0.2500
0.8970 0.1030 0.7500
```

## Properties
energy	-0.1708	Ha/atom

The following is a DFT calculation (GGA-PBE) of crystalline AcZnIn2Au2 at its relaxed geometry.

Cell and atoms, written as POSCAR:
```
AcZnIn2Au2
1.0
5.4403 0.0000 0.0000
0.0000 5.4403 0.0000
-2.7202 -2.7202 5.7545
In Ac Au Zn
2 1 2 1
Direct
0.2500 0.7500 0.5000
0.7500 0.2500 0.5000
0.5000 0.5000 0.0000
0.7843 0.7843 0.5686
0.2157 0.2157 0.4314
0.0000 0.0000 0.0000
```

## Properties
E_form	-18.3	kJ per mole of atoms

Here are the calculated magnetic moment numbers, same order: 3.4, 4.8, 0.0, 0.0, 0.0, 3.0, 0.0, 0.0 (Bohr magnetons per cell).